Run one
First-principles (GGA-PBE) data for crystalline Cd2ReRh at its relaxed geometry, as listed in Alexandria via LeMat-Bulk.

For the volume, the calculation gives 17.2 Å³ per atom.

The structure belongs to space group I-4m2 (No. 119); the cell edges are 4.2402, 4.2402 and 7.6323 Å and the angles 90.00°, 90.00° and 90.00°. The asymmetric unit holds Cd at (0.0000, 0.0000, 0.0000), Cd at (0.0000, 0.5000, 0.2500), Re at (0.0000, 0.5000, 0.7500) and Rh at (0.0000, 0.0000, 0.5000).

---

Run two
First-principles (GGA-PBE) data for crystalline Cd2ReRh at its relaxed geometry, as listed in Alexandria via LeMat-Bulk.

For the volume, the calculation gives 17.5 Å³ per atom.

The structure belongs to space group P4mm (No. 99); the cell edges are 2.8746, 2.8746 and 8.4541 Å and the angles 90.00°, 90.00° and 90.00°. The asymmetric unit holds Cd at (0.0000, 0.0000, 0.0000), Cd at (0.5000, 0.5000, 0.2998), Re at (0.0000, 0.0000, 0.5563) and Rh at (0.5000, 0.5000, 0.7514).

---

Run three
First-principles (GGA-PBE) data for crystalline Cd2ReRh at its relaxed geometry, as listed in Alexandria via LeMat-Bulk.

For the volume, the calculation gives 17.1 Å³ per atom.

The structure belongs to space group Cmmm (No. 65); the cell edges are 5.6168, 8.7045 and 2.7955 Å and the angles 90.00°, 90.00° and 90.00°. The asymmetric unit holds Cd at (0.2500, 0.2500, 0.0000), Re at (0.0000, 0.0000, 0.5000) and Rh at (0.0000, 0.5000, 0.5000).

---

Run four
First-principles (GGA-PBE) data for crystalline Cd2ReRh at its relaxed geometry, as listed in Alexandria via LeMat-Bulk.

For the volume, the calculation gives 17.1 Å³ per atom.

The structure belongs to space group P4/mmm (No. 123); the cell edges are 4.8552, 4.8552 and 2.9068 Å and the angles 90.00°, 90.00° and 90.00°. The asymmetric unit holds Cd at (0.0000, 0.5000, 0.0000), Re at (0.0000, 0.0000, 0.5000) and Rh at (0.5000, 0.5000, 0.5000).

---

Q: Which of them is the most stable? A: run two.

---

Run one
First-principles (GGA-PBE) data for crystalline Cd2ReRu at its relaxed geometry, as listed in Alexandria via LeMat-Bulk.

For the volume, the calculation gives 17.1 Å³ per atom.

The structure belongs to space group P4/mmm (No. 123); the cell edges are 3.8869, 3.8869 and 4.5320 Å and the angles 90.00°, 90.00° and 90.00°. The asymmetric unit holds Cd at (0.0000, 0.5000, 0.0000), Re at (0.0000, 0.0000, 0.5000) and Ru at (0.5000, 0.5000, 0.5000).

---

Run two
First-principles (GGA-PBE) data for crystalline Cd2ReRu at its relaxed geometry, as listed in Alexandria via LeMat-Bulk.

For the volume, the calculation gives 17.1 Å³ per atom.

The structure belongs to space group Pmmm (No. 47); the cell edges are 2.8408, 4.4957 and 5.3684 Å and the angles 90.00°, 90.00° and 90.00°. The asymmetric unit holds Cd at (0.0000, 0.0000, 0.2485), Re at (0.5000, 0.5000, 0.5000) and Ru at (0.5000, 0.5000, 0.0000).

---

Run three
First-principles (GGA-PBE) data for crystalline Cd2ReRu at its relaxed geometry, as listed in Alexandria via LeMat-Bulk.

For the volume, the calculation gives 17.0 Å³ per atom.

The structure belongs to space group Immm (No. 71); the cell edges are 2.9536, 4.7231 and 9.7536 Å and the angles 90.00°, 90.00° and 90.00°. The asymmetric unit holds Cd at (0.0000, 0.0000, 0.2445), Re at (0.0000, 0.5000, 0.0000) and Ru at (0.0000, 0.5000, 0.5000).

---

Run four
First-principles (GGA-PBE) data for crystalline Cd2ReRu at its relaxed geometry, as listed in Alexandria via LeMat-Bulk.

For the volume, the calculation gives 16.9 Å³ per atom.

The structure belongs to space group C2/m (No. 12); the cell edges are 9.8116, 2.9169 and 4.8230 Å and the angles 90.00°, 101.88° and 90.00°. The asymmetric unit holds Cd at (0.2474, 0.0000, 0.2470), Re at (0.0000, 0.0000, 0.5000) and Ru at (0.0000, 0.5000, 0.0000).

---

Q: Which of them is the most stable? A: run four.